VASP calculation (PBE+U) on a geometry-optimized PuNiBi2O6 structure.

Computed properties:
As for the energy: -7.10 eV/atom.

abc: 5.6387 6.0466 8.1776
angles: 90.00 89.81 90.00
With the nearest neighbours (Å) after each atom.
Fractional coordinates of all 20 atoms:
Pu  0.5000  0.0000  0.5000  6 O 2.22-2.24
Pu  0.0000  0.5000  0.0000  6 O 2.22-2.24
Ni  0.5000  0.0000  0.0000  6 O 2.12-2.16
Ni  0.0000  0.5000  0.5000  6 O 2.12-2.16
Bi  0.0111  0.9531  0.2456  3 O 2.25-2.34
Bi  0.5111  0.5469  0.7456  3 O 2.25-2.34
Bi  0.9889  0.0469  0.7544  3 O 2.25-2.34
Bi  0.4889  0.4531  0.2544  3 O 2.25-2.34
O  0.3254  0.6913  0.0591  1 Ni 2.16, 1 Pu 2.22, 1 Bi 2.34
O  0.8254  0.8087  0.5591  1 Ni 2.16, 1 Pu 2.22, 1 Bi 2.34
O  0.6746  0.3087  0.9409  1 Ni 2.16, 1 Pu 2.22, 1 Bi 2.34
O  0.1746  0.1913  0.4409  1 Ni 2.16, 1 Pu 2.22, 1 Bi 2.34
O  0.3192  0.6821  0.4456  1 Ni 2.16, 1 Pu 2.22, 1 Bi 2.30
O  0.8192  0.8179  0.9456  1 Ni 2.16, 1 Pu 2.22, 1 Bi 2.30
O  0.6808  0.3179  0.5544  1 Ni 2.16, 1 Pu 2.22, 1 Bi 2.30
O  0.1808  0.1821  0.0544  1 Ni 2.16, 1 Pu 2.22, 1 Bi 2.30
O  0.8748  0.5449  0.2587  1 Ni 2.12, 1 Pu 2.24, 1 Bi 2.25
O  0.3748  0.9551  0.7587  1 Ni 2.12, 1 Pu 2.24, 1 Bi 2.25
O  0.1252  0.4551  0.7413  1 Ni 2.12, 1 Pu 2.24, 1 Bi 2.25
O  0.6252  0.0449  0.2413  1 Ni 2.12, 1 Pu 2.24, 1 Bi 2.25